Record 1
## Li2H4Pd3 (PBE)

Data for a geometry-optimized Li2H4Pd3 structure.

Lattice parameters (Å, degrees): 6.164 5.339 4.911 73.80 56.28 49.92
Fractional coordinates of all 9 atoms:
Li 0.166 0.834 0.166
Li 0.834 0.166 0.834
H 0.211 0.468 0.532
H 0.468 0.211 0.789
H 0.532 0.789 0.211
H 0.789 0.532 0.468
Pd 0.000 0.500 0.000
Pd 0.500 0.000 0.500
Pd 0.500 0.500 0.500

calculated total energy: -3.8112 eV per atom


Record 2
## MnRe2Se (PBE)

Data for a geometry-optimized MnRe2Se structure.

Lattice parameters (Å, degrees): 9.458 2.951 4.377 90.00 95.25 90.00
Fractional coordinates of all 8 atoms:
Mn 0.000 0.000 0.000
Mn 0.500 0.500 0.000
Re 0.217 0.500 0.222
Re 0.283 0.000 0.778
Re 0.717 0.000 0.222
Re 0.783 0.500 0.778
Se 0.000 0.500 0.500
Se 0.500 0.000 0.500

calculated total energy: -9.0096 eV per atom
uncorrected formation energy: 0.38 eV per atom


Record 3
## Au (PBE)

Data for a geometry-optimized Au structure.

Lattice parameters (Å, degrees): 4.635 4.635 5.281 90.00 90.00 120.00
Fractional coordinates of all 4 atoms:
Au 0.000 0.000 0.250
Au 0.000 0.000 0.750
Au 0.333 0.667 0.250
Au 0.667 0.333 0.750

calculated total energy: -2.7186 eV per atom
ΔE_f: 559 meV per atom
energy above the most stable polymorph in this dataset: 558.7 meV/atom


Record 4
## Sm2ErAgSe5 (PBE)

Data for a geometry-optimized Sm2ErAgSe5 structure.

Lattice parameters (Å, degrees): 8.925 8.925 12.480 90.00 90.00 153.34
Fractional coordinates of all 18 atoms:
Sm 0.110 0.890 0.500
Sm 0.126 0.874 0.119
Sm 0.874 0.126 0.619
Sm 0.890 0.110 0.000
Er 0.196 0.804 0.823
Er 0.804 0.196 0.323
Ag 0.443 0.557 0.274
Ag 0.557 0.443 0.774
Se 0.046 0.954 0.896
Se 0.286 0.714 0.482
Se 0.305 0.695 0.159
Se 0.359 0.641 0.815
Se 0.497 0.503 0.588
Se 0.503 0.497 0.088
Se 0.641 0.359 0.315
Se 0.695 0.305 0.659
Se 0.714 0.286 0.982
Se 0.954 0.046 0.396

calculated total energy: -5.3313 eV per atom
uncorrected formation energy: -1.52 eV per atom


Number 1: DOS at the Fermi energy 0.217 states/eV per atom, V 11.342 Å³/atom. Number 2: DOS at the Fermi energy 0.787 states/eV per atom, V 15.206 Å³/atom. Number 3: DOS at the Fermi energy 0.427 states/eV per atom, V 24.560 Å³/atom. Number 4: DOS at the Fermi energy 0.005 states/eV per atom, V 24.779 Å³/atom.